(1)
! GGA-PBE Li2NdCu2, optimized geometry; values from VASP
! DOS at the Fermi energy: 2.8 states/eV/f.u.
! DFT formation energy: -10 kJ/mol of atoms
&SYSTEM
  ibrav = 0, nat = 10, ntyp = 3
/
ATOMIC_SPECIES
Li 6.94 Li.upf
Nd 144.24 Nd.upf
Cu 63.55 Cu.upf
CELL_PARAMETERS angstrom
-1.950 2.008 12.336
1.950 -2.008 12.336
1.950 2.008 -12.336
ATOMIC_POSITIONS crystal
Li 0.048 0.298 0.750
Li 0.450 0.200 0.250
Li 0.550 0.800 0.750
Li 0.952 0.702 0.250
Nd 0.326 0.576 0.750
Nd 0.674 0.424 0.250
Cu 0.121 0.871 0.250
Cu 0.222 0.972 0.250
Cu 0.778 0.028 0.750
Cu 0.879 0.129 0.750

(2)
! GGA-PBE LaTb2PrHo5, optimized geometry; values from VASP
! DOS at the Fermi energy: 10.8 states/eV/f.u.
! DFT formation energy: 26 kJ/mol of atoms
&SYSTEM
  ibrav = 0, nat = 18, ntyp = 4
/
ATOMIC_SPECIES
La 138.91 La.upf
Tb 158.93 Tb.upf
Pr 140.91 Pr.upf
Ho 164.93 Ho.upf
CELL_PARAMETERS angstrom
-4.390 4.390 7.692
4.390 -4.390 7.692
4.390 4.390 -7.692
ATOMIC_POSITIONS crystal
La 0.250 0.250 0.000
La 0.750 0.750 0.000
Tb 0.117 0.617 0.733
Tb 0.383 0.117 0.500
Tb 0.617 0.883 0.500
Tb 0.883 0.383 0.267
Pr 0.250 0.750 0.500
Pr 0.750 0.250 0.500
Ho 0.000 0.000 0.000
Ho 0.072 0.164 0.500
Ho 0.164 0.664 0.092
Ho 0.336 0.428 0.500
Ho 0.428 0.928 0.092
Ho 0.500 0.500 0.000
Ho 0.572 0.072 0.908
Ho 0.664 0.572 0.500
Ho 0.836 0.336 0.908
Ho 0.928 0.836 0.500

(3)
! GGA-PBE GeRh2S4, optimized geometry; values from VASP
! DOS at the Fermi energy: 5.7 states/eV/f.u.
! ΔE_f (raw): -0.166 eV/atom
&SYSTEM
  ibrav = 0, nat = 14, ntyp = 3
/
ATOMIC_SPECIES
Ge 72.64 Ge.upf
Rh 102.91 Rh.upf
S 32.06 S.upf
CELL_PARAMETERS angstrom
-3.145 3.145 6.150
3.145 -3.145 6.150
3.145 3.145 -6.150
ATOMIC_POSITIONS crystal
Ge 0.375 0.125 0.250
Ge 0.625 0.875 0.750
Rh 0.000 0.000 0.500
Rh 0.000 0.500 0.000
Rh 0.000 0.500 0.500
Rh 0.500 0.500 0.000
S 0.003 0.900 0.735
S 0.231 0.497 0.397
S 0.335 0.731 0.235
S 0.400 0.165 0.897
S 0.600 0.835 0.103
S 0.665 0.269 0.765
S 0.769 0.503 0.603
S 0.997 0.100 0.265

(4)
! GGA-PBE CsK5Rb4, optimized geometry; values from VASP
! DOS at the Fermi energy: 8.8 states/eV/f.u.
! DFT formation energy: 1 kJ/mol of atoms
&SYSTEM
  ibrav = 0, nat = 10, ntyp = 3
/
ATOMIC_SPECIES
Cs 132.91 Cs.upf
K 39.10 K.upf
Rb 85.47 Rb.upf
CELL_PARAMETERS angstrom
4.987 0.000 0.000
0.000 4.987 0.000
0.000 0.000 33.490
ATOMIC_POSITIONS crystal
Cs 0.000 0.000 0.000
K 0.500 0.500 0.109
K 0.500 0.500 0.304
K 0.500 0.500 0.500
K 0.500 0.500 0.696
K 0.500 0.500 0.891
Rb 0.000 0.000 0.207
Rb 0.000 0.000 0.402
Rb 0.000 0.000 0.598
Rb 0.000 0.000 0.793

(5)
! GGA-PBE Ti8C4O3, optimized geometry; values from VASP
! DOS at the Fermi energy: 5.8 states/eV/f.u.
! ΔE_f (raw): -1.538 eV/atom
&SYSTEM
  ibrav = 0, nat = 15, ntyp = 3
/
ATOMIC_SPECIES
Ti 47.87 Ti.upf
C 12.01 C.upf
O 16.00 O.upf
CELL_PARAMETERS angstrom
4.301 -4.322 0.000
4.301 4.322 0.000
-4.281 0.000 4.306
ATOMIC_POSITIONS crystal
Ti 0.238 0.762 0.000
Ti 0.251 0.251 0.485
Ti 0.257 0.257 0.012
Ti 0.258 0.742 0.500
Ti 0.742 0.258 0.500
Ti 0.743 0.743 0.988
Ti 0.749 0.749 0.515
Ti 0.762 0.238 0.000
C 0.000 0.000 0.000
C 0.000 0.500 0.000
C 0.500 0.000 0.000
C 0.500 0.500 0.500
O 0.000 0.500 0.500
O 0.500 0.000 0.500
O 0.500 0.500 0.000

(6)
! GGA-PBE TbTlF6, optimized geometry; values from VASP
! DOS at the Fermi energy: 0.0 states/eV/f.u.
! Distance to the lowest polymorph of the same formula: 0.0092 eV/atom
! ΔE_f (raw): -2.948 eV/atom
&SYSTEM
  ibrav = 0, nat = 16, ntyp = 3
/
ATOMIC_SPECIES
Tb 158.93 Tb.upf
Tl 204.38 Tl.upf
F 19.00 F.upf
CELL_PARAMETERS angstrom
5.609 0.000 0.000
-2.804 4.857 0.000
0.000 0.000 10.529
ATOMIC_POSITIONS crystal
Tb 0.333 0.667 0.250
Tb 0.667 0.333 0.750
Tl 0.000 0.000 0.000
Tl 0.000 0.000 0.500
F 0.042 0.333 0.124
F 0.042 0.709 0.376
F 0.291 0.333 0.376
F 0.291 0.958 0.124
F 0.333 0.042 0.624
F 0.333 0.291 0.876
F 0.667 0.709 0.124
F 0.667 0.958 0.376
F 0.709 0.042 0.876
F 0.709 0.667 0.624
F 0.958 0.291 0.624
F 0.958 0.667 0.876

(7)
! GGA-PBE RbTcCl2, optimized geometry; values from VASP
! DOS at the Fermi energy: 1.8 states/eV/f.u.
! Distance to the lowest polymorph of the same formula: 0.1290 eV/atom
! ΔE_f (raw): -0.218 eV/atom
&SYSTEM
  ibrav = 0, nat = 16, ntyp = 3
/
ATOMIC_SPECIES
Rb 85.47 Rb.upf
Tc 98.00 Tc.upf
Cl 35.45 Cl.upf
CELL_PARAMETERS angstrom
6.122 0.000 0.000
0.000 6.122 0.000
0.000 0.000 12.974
ATOMIC_POSITIONS crystal
Rb 0.000 0.000 0.000
Rb 0.000 0.500 0.250
Rb 0.500 0.000 0.750
Rb 0.500 0.500 0.500
Tc 0.000 0.000 0.500
Tc 0.000 0.500 0.750
Tc 0.500 0.000 0.250
Tc 0.500 0.500 0.000
Cl 0.122 0.250 0.625
Cl 0.250 0.622 0.875
Cl 0.250 0.878 0.375
Cl 0.378 0.250 0.125
Cl 0.622 0.750 0.125
Cl 0.750 0.122 0.375
Cl 0.750 0.378 0.875
Cl 0.878 0.750 0.625

(8)
! GGA-PBE Tb2ScCo, optimized geometry; values from VASP
! DOS at the Fermi energy: 5.1 states/eV/f.u.
! DFT formation energy: 23 kJ/mol of atoms
! Distance to the lowest polymorph of the same formula: 0.4015 eV/atom
&SYSTEM
  ibrav = 0, nat = 12, ntyp = 3
/
ATOMIC_SPECIES
Tb 158.93 Tb.upf
Sc 44.96 Sc.upf
Co 58.93 Co.upf
CELL_PARAMETERS angstrom
3.463 0.000 0.000
-1.731 2.999 0.000
0.000 0.000 30.232
ATOMIC_POSITIONS crystal
Tb 0.000 0.000 0.109
Tb 0.000 0.000 0.891
Tb 0.333 0.667 0.558
Tb 0.333 0.667 0.775
Tb 0.667 0.333 0.225
Tb 0.667 0.333 0.442
Sc 0.000 0.000 0.000
Sc 0.333 0.667 0.667
Sc 0.667 0.333 0.333
Co 0.000 0.000 0.500
Co 0.333 0.667 0.167
Co 0.667 0.333 0.833

(9)
! GGA-PBE GdEr2Ag, optimized geometry; values from VASP
! DOS at the Fermi energy: 6.6 states/eV/f.u.
! DFT formation energy: 7 kJ/mol of atoms
! Distance to the lowest polymorph of the same formula: 0.2001 eV/atom
&SYSTEM
  ibrav = 0, nat = 16, ntyp = 3
/
ATOMIC_SPECIES
Gd 157.25 Gd.upf
Er 167.26 Er.upf
Ag 107.87 Ag.upf
CELL_PARAMETERS angstrom
7.539 0.000 0.000
0.000 7.539 0.000
0.000 0.000 7.539
ATOMIC_POSITIONS crystal
Gd 0.000 0.000 0.000
Gd 0.000 0.500 0.500
Gd 0.500 0.000 0.500
Gd 0.500 0.500 0.000
Er 0.250 0.250 0.250
Er 0.250 0.250 0.750
Er 0.250 0.750 0.250
Er 0.250 0.750 0.750
Er 0.750 0.250 0.250
Er 0.750 0.250 0.750
Er 0.750 0.750 0.250
Er 0.750 0.750 0.750
Ag 0.000 0.000 0.500
Ag 0.000 0.500 0.000
Ag 0.500 0.000 0.000
Ag 0.500 0.500 0.500

(10)
! GGA-PBE Np2AlGa5, optimized geometry; values from VASP
! DOS at the Fermi energy: 17.4 states/eV/f.u.
! DFT formation energy: -17 kJ/mol of atoms
&SYSTEM
  ibrav = 0, nat = 16, ntyp = 3
/
ATOMIC_SPECIES
Np 237.00 Np.upf
Al 26.98 Al.upf
Ga 69.72 Ga.upf
CELL_PARAMETERS angstrom
6.043 0.000 0.000
0.000 6.043 0.000
0.000 0.000 8.467
ATOMIC_POSITIONS crystal
Np 0.000 0.500 0.000
Np 0.000 0.500 0.500
Np 0.500 0.000 0.000
Np 0.500 0.000 0.500
Al 0.000 0.000 0.000
Al 0.500 0.500 0.500
Ga 0.000 0.000 0.500
Ga 0.250 0.250 0.250
Ga 0.250 0.250 0.750
Ga 0.250 0.750 0.250
Ga 0.250 0.750 0.750
Ga 0.500 0.500 0.000
Ga 0.750 0.250 0.250
Ga 0.750 0.250 0.750
Ga 0.750 0.750 0.250
Ga 0.750 0.750 0.750

(11)
! GGA-PBE La2TaFe, optimized geometry; values from VASP
! DOS at the Fermi energy: 5.3 states/eV/f.u.
! DFT formation energy: 27 kJ/mol of atoms
! Distance to the lowest polymorph of the same formula: 0.0979 eV/atom
&SYSTEM
  ibrav = 0, nat = 8, ntyp = 3
/
ATOMIC_SPECIES
La 138.91 La.upf
Ta 180.95 Ta.upf
Fe 55.84 Fe.upf
CELL_PARAMETERS angstrom
3.469 0.000 0.000
0.000 5.081 0.000
0.000 0.000 11.273
ATOMIC_POSITIONS crystal
La 0.000 0.000 0.000
La 0.000 0.500 0.210
La 0.500 0.000 0.710
La 0.500 0.500 0.500
Ta 0.000 0.500 0.804
Ta 0.500 0.000 0.304
Fe 0.000 0.000 0.448
Fe 0.500 0.500 0.948

(12)
! GGA-PBE Li2HoEr2Mg5, optimized geometry; values from VASP
! DOS at the Fermi energy: 6.8 states/eV/f.u.
! DFT formation energy: -1 kJ/mol of atoms
&SYSTEM
  ibrav = 0, nat = 20, ntyp = 4
/
ATOMIC_SPECIES
Li 6.94 Li.upf
Ho 164.93 Ho.upf
Er 167.26 Er.upf
Mg 24.30 Mg.upf
CELL_PARAMETERS angstrom
10.480 0.000 0.000
0.000 10.480 0.000
0.000 0.000 4.415
ATOMIC_POSITIONS crystal
Li 0.115 0.385 0.000
Li 0.385 0.885 0.000
Li 0.615 0.115 0.000
Li 0.885 0.615 0.000
Ho 0.000 0.000 0.000
Ho 0.500 0.500 0.000
Er 0.180 0.680 0.000
Er 0.320 0.180 0.000
Er 0.680 0.820 0.000
Er 0.820 0.320 0.000
Mg 0.000 0.500 0.500
Mg 0.063 0.214 0.500
Mg 0.214 0.937 0.500
Mg 0.286 0.437 0.500
Mg 0.437 0.714 0.500
Mg 0.500 0.000 0.500
Mg 0.563 0.286 0.500
Mg 0.714 0.563 0.500
Mg 0.786 0.063 0.500
Mg 0.937 0.786 0.500